Density functional theory data (PBE) for a relaxed structure of NiAsAuSe2.

Output
The calculation puts the polymorph energy (0 for the lowest one) at 628.2 meV per atom. The value obtained for the formation energy without anion corrections is 1.116 eV/atom. Its crystal system is tetragonal.

Cell: 5.1770 5.1770 4.8415 Å, 90.00 90.00 90.00°
Closest atoms and distances in Å follow each position.
Fractional coordinates of all 5 atoms:
Ni 0.5000 0.5000 0.5000  8 Se 3.54, 4 As 3.66
As 0.0000 0.0000 0.5000  2 Au 2.42
Au 0.0000 0.0000 0.0000  2 As 2.42, 4 Se 2.59
Se 0.0000 0.5000 0.0000  2 Au 2.59
Se 0.5000 0.0000 0.0000  2 Au 2.59